No. 1
Here is an optimized crystal structure of TbPrPd from Alexandria via LeMat-Bulk. Energies are from PBE.

a = 3.6208 Å, b = 3.6208 Å, c = 12.5403 Å
α = 90.00°, β = 90.00°, γ = 90.00°
Last column: nearest neighbours and their distance in Å.
Space group I4mm (No. 107)
Symmetry-distinct sites (fractional):
Tb 0.0000 0.0000 0.0000  4 Pd 2.97
Pr 0.0000 0.0000 0.7249  4 Pd 3.22, 1 Tb 3.45
Pd 0.0000 0.0000 0.3803  4 Tb 2.97, 4 Pr 3.22

Results
- ΔE_f (eV per atom) = -0.490

=====

No. 2
Here is an optimized crystal structure of CaMgC from Alexandria via LeMat-Bulk. Energies are from PBE.

a = 3.8065 Å, b = 3.5070 Å, c = 19.0104 Å
α = 90.00°, β = 90.00°, γ = 90.00°
Last column: nearest neighbours and their distance in Å.
Space group Amm2 (No. 38)
Symmetry-distinct sites (fractional):
Ca 0.0000 0.0000 0.0000  2 C 2.65
Ca 0.5000 0.0000 0.1629  8 C 2.59-2.82
Mg 0.0000 0.0000 0.7871  1 C 2.17
Mg 0.5000 0.0000 0.3771  4 Mg 3.10
C 0.0000 0.0000 0.6042  1 C 1.31
C 0.0000 0.0000 0.6729  1 C 1.31

Results
- ΔE_f (eV per atom) = 0.007

=====

No. 3
Here is an optimized crystal structure of HfTaGa3 from Alexandria via LeMat-Bulk. Energies are from PBE.

a = 4.9386 Å, b = 4.9386 Å, c = 4.9386 Å
α = 90.00°, β = 90.00°, γ = 90.00°
Last column: nearest neighbours and their distance in Å.
Space group Pm-3m (No. 221)
Symmetry-distinct sites (fractional):
Hf 0.0000 0.0000 0.0000  6 Ga 2.47
Ta 0.5000 0.5000 0.5000  12 Ga 3.49
Ga 0.0000 0.0000 0.5000  2 Hf 2.47

Results
- ΔE_f (eV per atom) = 1.287

=====

No. 4
Here is an optimized crystal structure of Dy6GeTe3S2 from Alexandria via LeMat-Bulk. Energies are from PBE.

a = 7.1263 Å, b = 12.3310 Å, c = 7.4420 Å
α = 90.00°, β = 108.56°, γ = 90.00°
Last column: nearest neighbours and their distance in Å.
Space group C2/m (No. 12)
Symmetry-distinct sites (fractional):
Dy 0.2341 0.0000 0.2096  2 S 2.79, 1 Ge 2.81, 1 Te 3.12
Dy 0.2379 0.3322 0.2112  2 S 2.79-2.80, 1 Ge 2.82, 1 Te 3.13
Ge 0.0000 0.5000 0.0000  6 Dy 2.81-2.82
Te 0.0000 0.0000 0.5000  6 Dy 3.12-3.14
Te 0.0000 0.3346 0.5000  6 Dy 3.13
S 0.0000 0.1670 0.0000  6 Dy 2.79-2.80

=====

No. 5
Here is an optimized crystal structure of PaSb2Au2 from Alexandria via LeMat-Bulk. Energies are from PBE.

a = 4.3431 Å, b = 23.3935 Å, c = 4.4850 Å
α = 90.00°, β = 90.00°, γ = 90.00°
Last column: nearest neighbours and their distance in Å.
Space group Cmcm (No. 63)
Symmetry-distinct sites (fractional):
Pa 0.0000 0.1457 0.2500  8 Sb 3.16-3.31, 4 Au 3.24-3.30
Sb 0.0000 0.2497 0.7500  4 Sb 3.12, 4 Pa 3.27-3.31
Sb 0.0000 0.3740 0.2500  4 Au 2.92-2.97, 4 Pa 3.16
Au 0.0000 0.0423 0.7500  2 Sb 2.92, 8 Au 2.95-3.12
Au 0.0000 0.4571 0.7500  8 Au 2.95-3.12, 2 Sb 2.97, 2 Pa 3.24

=====

No. 6
Here is an optimized crystal structure of LaTb2Mg from Alexandria via LeMat-Bulk. Energies are from PBE.

a = 4.9597 Å, b = 4.9597 Å, c = 5.0695 Å
α = 90.00°, β = 90.00°, γ = 90.00°
Last column: nearest neighbours and their distance in Å.
Space group P4/mmm (No. 123)
Symmetry-distinct sites (fractional):
La 0.0000 0.0000 0.0000  4 Mg 3.51, 8 Tb 3.55
Tb 0.0000 0.5000 0.5000  4 Tb 3.51, 4 Mg 3.55, 4 La 3.55
Mg 0.5000 0.5000 0.0000  4 La 3.51, 8 Tb 3.55

Results
- ΔE_f (eV per atom) = 0.020

=====

One value per record, in order, for DFT total energy: -32.142, -51.197, -24.452, -136.363, -104.041, -15.704 eV per cell.